This record from the Alexandria database describes crystalline Ga3SiH at its relaxed geometry. The functional is GGA-PBE. Values from VASP.

Total magnetization (μB per cell): 0.00
Offset from the most stable computed form (eV per atom): 0.429
E (eV/atom): -2.7927

The structure in Quantum ESPRESSO input format:
```
&SYSTEM
  ibrav = 0, nat = 5, ntyp = 3
/
ATOMIC_SPECIES
Ga 69.72 Ga.upf
Si 28.09 Si.upf
H 1.01 H.upf
CELL_PARAMETERS angstrom
4.8610 0.0000 0.0000
0.0000 4.8610 0.0000
0.0000 0.0000 4.8610
ATOMIC_POSITIONS angstrom
Ga 0.0000 0.0000 2.4305
Ga 0.0000 2.4305 0.0000
Ga 2.4305 0.0000 0.0000
Si 0.0000 0.0000 0.0000
H 2.4305 2.4305 2.4305
```